[1]
A plane-wave DFT calculation with PBE was carried out for Pm2AlNi9 after structural relaxation.

Geometry as extended XYZ:
```
12
Lattice="2.447 1.413 8.216 -2.447 1.413 8.216 0.000 -2.826 8.216" Properties=species:S:1:pos:R:3 pbc="T T T"
Pm 0.000 0.000 3.324
Pm 0.000 0.000 21.324
Al 0.000 0.000 0.000
Ni -1.223 -0.706 10.177
Ni 0.000 0.000 8.205
Ni 0.000 -1.412 14.470
Ni -1.223 0.706 14.470
Ni 0.000 0.000 12.324
Ni 1.223 -0.706 10.177
Ni 0.000 1.412 10.177
Ni 0.000 0.000 16.442
Ni 1.223 0.706 14.470
```

Summary:
Magnetization ... 0.086 μB per atom
E_tot ... -5.643 eV/atom
Space-group type ... R-3m (166)
Formation energy ... -0.20 eV/atom

=====

[2]
A plane-wave DFT calculation with PBE was carried out for HgOs3N after structural relaxation.

Geometry as extended XYZ:
```
5
Lattice="4.137 0.000 0.000 0.000 4.137 0.000 0.000 0.000 4.137" Properties=species:S:1:pos:R:3 pbc="T T T"
Hg 0.000 0.000 0.000
Os 0.000 2.068 2.068
Os 2.068 0.000 2.068
Os 2.068 2.068 0.000
N 2.068 2.068 2.068
```

Summary:
Magnetization ... 0.000 μB per atom
E_tot ... -7.496 eV/atom
Raw formation energy ... 967 meV/atom
Space-group type ... Pm-3m (221)

=====

[3]
A plane-wave DFT calculation with PBE was carried out for AcGdF after structural relaxation.

Geometry as extended XYZ:
```
3
Lattice="3.963 0.000 0.000 -1.981 3.432 0.000 0.000 0.000 6.050" Properties=species:S:1:pos:R:3 pbc="T T T"
Ac 0.000 0.000 0.000
Gd 1.981 1.144 3.038
F 0.000 2.288 4.292
```

Summary:
Magnetization ... 2.521 μB per atom
E_tot ... -8.196 eV/atom
Raw formation energy ... -1509 meV/atom
Space-group type ... P3m1 (156)

=====

[4]
A plane-wave DFT calculation with PBE was carried out for TiCu3As after structural relaxation.

Geometry as extended XYZ:
```
5
Lattice="4.454 0.000 0.000 0.000 4.454 0.000 0.000 0.000 4.454" Properties=species:S:1:pos:R:3 pbc="T T T"
Ti 0.000 0.000 0.000
Cu 0.000 2.227 2.227
Cu 2.227 0.000 2.227
Cu 2.227 2.227 0.000
As 2.227 2.227 2.227
```

Summary:
Magnetization ... 0.414 μB per atom
E_tot ... -4.390 eV/atom
Space-group type ... Pm-3m (221)
Formation energy ... 0.58 eV/atom

=====

[5]
A plane-wave DFT calculation with PBE was carried out for FeTe2Os after structural relaxation.

Geometry as extended XYZ:
```
4
Lattice="1.963 1.133 6.704 -1.963 1.133 6.704 0.000 -2.266 6.704" Properties=species:S:1:pos:R:3 pbc="T T T"
Fe 0.000 0.000 0.000
Te 0.000 0.000 5.377
Te 0.000 0.000 8.992
Os 0.000 0.000 14.078
```

Summary:
Magnetization ... 0.096 μB per atom
E_tot ... -6.248 eV/atom
Raw formation energy ... 246 meV/atom
Space-group type ... R3m (160)

=====

[6]
A plane-wave DFT calculation with PBE was carried out for Ac6TbO12 after structural relaxation.

Geometry as extended XYZ:
```
19
Lattice="5.474 3.160 3.421 -5.474 3.160 3.421 0.000 -6.321 3.421" Properties=species:S:1:pos:R:3 pbc="T T T"
Ac -3.761 -1.201 5.245
Ac -0.840 -3.857 5.019
Ac -2.920 2.656 5.019
Ac 2.920 -2.656 5.245
Ac 0.840 3.857 5.245
Ac 3.761 1.201 5.019
Tb 0.000 0.000 5.132
O -4.672 1.012 4.415
O -3.212 -3.540 5.849
O -1.352 -1.553 4.066
O 1.460 -4.551 4.415
O -0.669 1.948 4.066
O -2.021 0.394 6.198
O 2.021 -0.394 4.066
O 0.669 -1.948 6.198
O -1.460 4.552 5.849
O 1.352 1.553 6.198
O 3.212 3.540 4.415
O 4.672 -1.012 5.849
```

Summary:
Magnetization ... 0.168 μB per atom
E_tot ... -7.712 eV/atom
Raw formation energy ... -3039 meV/atom
Space-group type ... R-3 (148)

=====

[7]
A plane-wave DFT calculation with PBE was carried out for KNa2Ge2 after structural relaxation.

Geometry as extended XYZ:
```
5
Lattice="4.449 -2.573 0.000 4.449 2.573 0.000 -2.968 0.000 6.974" Properties=species:S:1:pos:R:3 pbc="T T T"
K 0.000 0.000 0.000
Na 0.001 0.000 4.143
Na 5.928 0.000 2.831
Ge 2.959 0.000 2.305
Ge 2.970 0.000 4.668
```

Summary:
Magnetization ... 0.000 μB per atom
E_tot ... -2.664 eV/atom
Space-group type ... C2/m (12)
Formation energy ... -0.07 eV/atom

=====

[8]
A plane-wave DFT calculation with PBE was carried out for Hg2OsCl after structural relaxation.

Geometry as extended XYZ:
```
4
Lattice="-1.594 3.290 4.583 1.594 -3.290 4.583 1.594 3.290 -4.583" Properties=species:S:1:pos:R:3 pbc="T T T"
Hg 0.000 0.000 2.229
Hg 0.000 0.000 6.937
Os 1.594 0.000 0.000
Cl 0.000 3.290 0.000
```

Summary:
Magnetization ... 0.515 μB per atom
E_tot ... -2.483 eV/atom
Raw formation energy ... 937 meV/atom
Space-group type ... Immm (71)

=====

[9]
A plane-wave DFT calculation with PBE was carried out for Cs2TePdS4 after structural relaxation.

Geometry as extended XYZ:
```
16
Lattice="0.000 8.142 12.193 2.595 0.000 12.193 2.595 8.142 0.000" Properties=species:S:1:pos:R:3 pbc="T T T"
Cs 1.947 6.106 1.303
Cs 3.244 10.177 7.399
Cs 1.947 6.106 16.986
Cs 3.244 10.177 23.082
Te 1.947 6.106 9.144
Te 3.244 10.177 15.241
Pd 0.649 2.035 3.048
Pd 4.542 14.248 21.337
S 2.114 3.588 4.602
S 3.077 7.659 10.698
S 1.780 8.624 4.602
S 1.780 3.588 13.687
S 3.411 12.695 10.698
S 3.411 7.659 19.784
S 2.114 8.624 13.687
S 3.077 12.695 19.784
```

Summary:
Magnetization ... 0.000 μB per atom
E_tot ... -3.691 eV/atom
Raw formation energy ... -372 meV/atom
Space-group type ... Fddd (70)

=====

[10]
A plane-wave DFT calculation with PBE was carried out for RbHgI2 after structural relaxation.

Geometry as extended XYZ:
```
4
Lattice="5.987 0.000 0.000 0.000 5.987 0.000 0.000 0.000 4.292" Properties=species:S:1:pos:R:3 pbc="T T T"
Rb 0.000 0.000 0.000
Hg 2.994 2.994 0.000
I 0.000 2.994 2.146
I 2.994 0.000 2.146
```

Summary:
Magnetization ... 0.000 μB per atom
E_tot ... -1.743 eV/atom
Raw formation energy ... -651 meV/atom
Space-group type ... P4/mmm (123)

=====

[11]
A plane-wave DFT calculation with PBE was carried out for Rb3LiH after structural relaxation.

Geometry as extended XYZ:
```
5
Lattice="6.147 0.000 0.000 0.000 6.147 0.000 0.000 0.000 6.147" Properties=species:S:1:pos:R:3 pbc="T T T"
Rb 0.000 0.000 3.074
Rb 0.000 3.074 0.000
Rb 3.074 0.000 0.000
Li 3.074 3.074 3.074
H 0.000 0.000 0.000
```

Summary:
Magnetization ... 0.000 μB per atom
E_tot ... -1.570 eV/atom
Space-group type ... Pm-3m (221)

=====

[12]
A plane-wave DFT calculation with PBE was carried out for Li3Tl2 after structural relaxation.

Geometry as extended XYZ:
```
5
Lattice="4.768 0.000 0.000 -2.384 4.129 0.000 0.000 0.000 5.796" Properties=species:S:1:pos:R:3 pbc="T T T"
Li 0.000 0.000 0.000
Li 0.000 2.753 2.047
Li 2.384 1.376 3.748
Tl 0.000 2.753 4.897
Tl 2.384 1.376 0.898
```

Summary:
Magnetization ... 0.000 μB per atom
E_tot ... -2.263 eV/atom
Space-group type ... P-3m1 (164)
Formation energy ... -0.17 eV/atom